CsSrRuCl6 GGA-PBE optimized geometry; crystal system = trigonal; total energy = -4.02 eV/atom; total magnetic moment = 1.00 μB per formula unit; symmetry = P312, No. 149; N(E_F) = 1.141 states/eV/atom; raw formation energy = -1.474 eV per atom
1.0
7.0022 0.0000 0.0000
-3.5011 6.0641 0.0000
0.0000 0.0000 7.6167
Cs Sr Ru Cl
1 1 1 6
Direct
0.0000 0.0000 0.0000
0.6667 0.3333 0.5000
0.3333 0.6667 0.5000
0.0545 0.3931 0.3138
0.0545 0.6614 0.6862
0.3386 0.3931 0.6862
0.3386 0.9455 0.3138
0.6069 0.6614 0.3138
0.6069 0.9455 0.6862